1.
Computed, not measured: a PBEsol-optimized structure of LaHfMo2Pt at the meta-GGA SCAN level of DFT.

Output
Calculated formation energy: 1.581 eV/atom

Cell: 4.676 4.676 5.464 Å, 90.00 90.00 90.00°
Site moments in Bohr magnetons follow the coordinates.
Fractional coordinates of all 5 atoms:
Hf  0.000  0.000  0.000  -0.01
Mo  0.500  0.000  0.000  0.86
Mo  0.000  0.500  0.000  0.86
Pt  0.500  0.500  0.500  0.13
La  0.000  0.000  0.500  0.03

***

2.
Computed, not measured: a PBEsol-optimized structure of LaHfTe2Mo at the meta-GGA SCAN level of DFT.

Output
Formation energy from raw total energies: 1389.6 meV/atom

Cell: 4.709 5.791 5.791 Å, 90.00 90.00 90.00°
Site moments in Bohr magnetons follow the coordinates.
Fractional coordinates of all 5 atoms:
Mo  0.500  0.000  0.000  1.09
Te  0.000  0.500  0.000  0.04
Te  0.000  0.000  0.500  0.04
La  0.000  0.000  0.000  0.04
Hf  0.500  0.500  0.500  -0.88

***

3.
Computed, not measured: a PBEsol-optimized structure of La2HfTaN at the meta-GGA SCAN level of DFT.

Output
Formation energy from raw total energies: 932.9 meV/atom

Cell: 3.959 5.846 5.846 Å, 90.00 90.00 90.00°
Site moments in Bohr magnetons follow the coordinates.
Fractional coordinates of all 5 atoms:
Hf  0.000  0.000  0.000  -0.05
N  0.500  0.000  0.000  0.05
La  0.000  0.500  0.000  0.11
La  0.000  0.000  0.500  0.11
Ta  0.500  0.500  0.500  1.65

***

4.
Computed, not measured: a PBEsol-optimized structure of La3HfNb at the meta-GGA SCAN level of DFT.

Output
Calculated formation energy: 0.845 eV/atom

Cell: 5.449 5.449 5.449 Å, 90.00 90.00 90.00°
Fractional coordinates of all 5 atoms:
Nb  0.000  0.000  0.000
La  0.000  0.500  0.000
La  0.000  0.000  0.500
La  0.500  0.000  0.000
Hf  0.500  0.500  0.500

***

5.
Computed, not measured: a PBEsol-optimized structure of La2HfNbPd at the meta-GGA SCAN level of DFT.

Output
Calculated formation energy: 0.524 eV/atom

Cell: 5.025 5.462 5.462 Å, 90.00 90.00 90.00°
Site moments in Bohr magnetons follow the coordinates.
Fractional coordinates of all 5 atoms:
Nb  0.500  0.500  0.500  2.24
La  0.000  0.500  0.000  0.05
La  0.000  0.000  0.500  0.05
Pd  0.000  0.000  0.000  0.02
Hf  0.500  0.000  0.000  -0.18

***

6.
Computed, not measured: a PBEsol-optimized structure of LaHfNb2Se at the meta-GGA SCAN level of DFT.

Output
Formation energy from raw total energies: 943.5 meV/atom

Cell: 4.773 4.773 5.965 Å, 90.00 90.00 90.00°
Site moments in Bohr magnetons follow the coordinates.
Fractional coordinates of all 5 atoms:
Se  0.500  0.500  0.500  -0.03
Hf  0.000  0.000  0.000  -0.09
La  0.000  0.000  0.500  0.03
Nb  0.000  0.500  0.000  0.30
Nb  0.500  0.000  0.000  0.30